This record from Alexandria via LeMat-Bulk describes a relaxed structure of TcNiO2. The functional is PBE with a Hubbard U. Values from VASP.

Cell and atoms, written as Quantum ESPRESSO input:
```
&SYSTEM
  ibrav = 0, nat = 8, ntyp = 3
/
ATOMIC_SPECIES
Tc 98.00 Tc.upf
Ni 58.69 Ni.upf
O 16.00 O.upf
CELL_PARAMETERS angstrom
3.7034 0.0000 0.0000
-0.7013 5.0130 0.0000
-1.6077 -2.2939 5.4003
ATOMIC_POSITIONS angstrom
Tc 0.0000 0.0000 0.0000
Tc -0.6431 1.4213 4.6405
Ni 1.4094 -0.1328 3.2536
Ni 1.7118 2.1598 2.2884
O -1.2748 -0.4097 4.8022
O 0.6370 0.6116 1.7107
O 0.3048 2.8435 3.5619
O 2.0107 3.5259 0.9235
```

Properties
excess energy over the best structure of this formula in the dataset = 197.3 meV per atom
DOS(E_F) = 0.00 states/eV/cell